# CaGa

Crystalline CaGa at its relaxed geometry (PBE-GGA, the Alexandria database).

Summary:
energy relative to the elements: -189 meV per atom
SG: I4/m
Fermi-level density of states: 0.43 states/eV/atom
calculated total energy: -21.63 eV/cell

Cell: 7.845 7.845 7.845 Å, 93.81 93.81 150.13°
Fractional coordinates of all 8 atoms:
Ca1 0.122 0.199 0.320
Ca2 0.199 0.878 0.077
Ca3 0.801 0.122 0.923
Ca4 0.878 0.801 0.680
Ga1 0.093 0.591 0.684
Ga2 0.409 0.093 0.501
Ga3 0.591 0.907 0.499
Ga4 0.907 0.409 0.316